# 1
# PBE CeNd3Sm4Se8, optimized geometry
# **Raw total energy**: -6.014 eV per atom
# **Fermi-level density of states**: 14.0 states/eV/f.u.
# **Energy relative to the elements, uncorrected**: -1.83 eV per atom
data_CeNd3Sm4Se8
_chemical_formula_sum 'Ce3 Nd9 Sm12 Se24'
_cell_length_a 8.3919
_cell_length_b 8.3919
_cell_length_c 20.5958
_cell_angle_alpha 90.00
_cell_angle_beta 90.00
_cell_angle_gamma 120.00
_space_group_name_H-M_alt 'R -3 m'
_space_group_IT_number 166
_space_group_name_Hall '-R 3 2"'
loop_
_atom_site_label
_atom_site_type_symbol
_atom_site_fract_x
_atom_site_fract_y
_atom_site_fract_z
Ce1 Ce 0.0000 0.0000 0.0000
Nd1 Nd 0.0000 0.5000 0.0000
Sm1 Sm 0.0000 0.0000 0.5000
Sm2 Sm 0.0000 0.5000 0.5000
Se1 Se 0.0000 0.0000 0.2483
Se2 Se 0.0018 0.5009 0.7513

---

# 2
# PBE HoAgIr, optimized geometry
# **Raw total energy**: -5.822 eV per atom
# **Fermi-level density of states**: 1.5 states/eV/f.u.
# **Formation energy from the elements**: -0.392 eV per atom
data_HoAgIr
_chemical_formula_sum 'Ho2 Ag2 Ir2'
_cell_length_a 5.034
_cell_length_b 5.137
_cell_length_c 5.475
_cell_angle_alpha 100.12
_cell_angle_beta 94.17
_cell_angle_gamma 118.44
_space_group_name_H-M_alt 'P -1'
_space_group_IT_number 2
_space_group_name_Hall '-P 1'
loop_
_atom_site_label
_atom_site_type_symbol
_atom_site_fract_x
_atom_site_fract_y
_atom_site_fract_z
Ho1 Ho 0.227 0.399 0.196
Ag1 Ag 0.419 0.917 0.731
Ir1 Ir 0.092 0.254 0.671

---

# 3
# PBE PaZn5Pt2, optimized geometry
# **Raw total energy**: -3.949 eV per atom
# **Fermi-level density of states**: 4.7 states/eV/f.u.
# **Formation energy from the elements**: -0.456 eV per atom
data_PaZn5Pt2
_chemical_formula_sum 'Pa2 Zn10 Pt4'
_cell_length_a 3.865
_cell_length_b 7.767
_cell_length_c 9.407
_cell_angle_alpha 90.00
_cell_angle_beta 90.00
_cell_angle_gamma 90.00
_space_group_name_H-M_alt 'I m m m'
_space_group_IT_number 71
_space_group_name_Hall '-I 2 2'
loop_
_atom_site_label
_atom_site_type_symbol
_atom_site_fract_x
_atom_site_fract_y
_atom_site_fract_z
Pa1 Pa 0.000 0.000 0.000
Zn1 Zn 0.000 0.181 0.355
Zn2 Zn 0.000 0.500 0.000
Pt1 Pt 0.000 0.500 0.281

---

# 4
# PBE CaNdPd6, optimized geometry
# **Raw total energy**: -5.350 eV per atom
# **Fermi-level density of states**: 8.9 states/eV/f.u.
# **Formation energy from the elements**: -0.609 eV per atom
data_CaNdPd6
_chemical_formula_sum 'Ca1 Nd1 Pd6'
_cell_length_a 5.9689
_cell_length_b 5.9689
_cell_length_c 4.7400
_cell_angle_alpha 90.00
_cell_angle_beta 90.00
_cell_angle_gamma 120.00
_space_group_name_H-M_alt 'P -6 m 2'
_space_group_IT_number 187
_space_group_name_Hall 'P -6 2'
loop_
_atom_site_label
_atom_site_type_symbol
_atom_site_fract_x
_atom_site_fract_y
_atom_site_fract_z
Ca1 Ca 0.0000 0.0000 0.0000
Nd1 Nd 0.6667 0.3333 0.5000
Pd1 Pd 0.0156 0.5078 0.0000
Pd2 Pd 0.1728 0.3455 0.5000

---

# 5
# PBE DyTeO, optimized geometry
# **Raw total energy**: -6.515 eV per atom
# **Energy relative to the elements, uncorrected**: -2.28 eV per atom
data_DyTeO
_chemical_formula_sum 'Dy4 Te4 O4'
_cell_length_a 6.254
_cell_length_b 6.488
_cell_length_c 7.745
_cell_angle_alpha 90.00
_cell_angle_beta 110.29
_cell_angle_gamma 90.00
_space_group_name_H-M_alt 'P 1 21/c 1'
_space_group_IT_number 14
_space_group_name_Hall '-P 2ybc'
loop_
_atom_site_label
_atom_site_type_symbol
_atom_site_fract_x
_atom_site_fract_y
_atom_site_fract_z
Dy1 Dy 0.118 0.170 0.173
Te1 Te 0.363 0.599 0.087
O1 O 0.041 0.132 0.871

---

# 6
# PBE TaAl2TcW, optimized geometry
# **Raw total energy**: -7.070 eV per atom
# **Fermi-level density of states**: 6.2 states/eV/f.u.
# **Formation energy from the elements**: 1.461 eV per atom
data_TaAl2TcW
_chemical_formula_sum 'Ta1 Al2 Tc1 W1'
_cell_length_a 4.668
_cell_length_b 4.668
_cell_length_c 4.663
_cell_angle_alpha 90.00
_cell_angle_beta 90.00
_cell_angle_gamma 90.00
_space_group_name_H-M_alt 'P 4/m m m'
_space_group_IT_number 123
_space_group_name_Hall '-P 4 2'
loop_
_atom_site_label
_atom_site_type_symbol
_atom_site_fract_x
_atom_site_fract_y
_atom_site_fract_z
Ta1 Ta 0.000 0.000 0.000
Al1 Al 0.000 0.500 0.500
Tc1 Tc 0.500 0.500 0.000
W1 W 0.500 0.500 0.500

---

# 7
# PBE NdThI2, optimized geometry
# **Raw total energy**: -4.416 eV per atom
# **Fermi-level density of states**: 5.0 states/eV/f.u.
# **Energy relative to the elements, uncorrected**: -0.59 eV per atom
data_NdThI2
_chemical_formula_sum 'Nd3 Th3 I6'
_cell_length_a 3.8183
_cell_length_b 3.8183
_cell_length_c 33.3353
_cell_angle_alpha 90.00
_cell_angle_beta 90.00
_cell_angle_gamma 120.00
_space_group_name_H-M_alt 'R -3 m'
_space_group_IT_number 166
_space_group_name_Hall '-R 3 2"'
loop_
_atom_site_label
_atom_site_type_symbol
_atom_site_fract_x
_atom_site_fract_y
_atom_site_fract_z
Nd1 Nd 0.0000 0.0000 0.0000
Th1 Th 0.0000 0.0000 0.5000
I1 I 0.0000 0.0000 0.4035

---

# 8
# PBE MgAl2As, optimized geometry
# **Raw total energy**: -3.427 eV per atom
# **Fermi-level density of states**: 1.8 states/eV/f.u.
# **Formation energy from the elements**: 0.005 eV per atom
data_MgAl2As
_chemical_formula_sum 'Mg2 Al4 As2'
_cell_length_a 4.173
_cell_length_b 4.173
_cell_length_c 8.493
_cell_angle_alpha 90.00
_cell_angle_beta 90.00
_cell_angle_gamma 90.00
_space_group_name_H-M_alt 'I -4 m 2'
_space_group_IT_number 119
_space_group_name_Hall 'I -4 -2'
loop_
_atom_site_label
_atom_site_type_symbol
_atom_site_fract_x
_atom_site_fract_y
_atom_site_fract_z
Mg1 Mg 0.000 0.000 0.000
Al1 Al 0.000 0.000 0.500
Al2 Al 0.000 0.500 0.750
As1 As 0.000 0.500 0.250

---

# 9
# PBE CaTb6Pr3, optimized geometry
# **Raw total energy**: -4.179 eV per atom
# **Fermi-level density of states**: 13.6 states/eV/f.u.
# **Formation energy from the elements**: 0.233 eV per atom
data_CaTb6Pr3
_chemical_formula_sum 'Ca2 Tb12 Pr6'
_cell_length_a 18.147
_cell_length_b 6.934
_cell_length_c 6.002
_cell_angle_alpha 90.00
_cell_angle_beta 102.84
_cell_angle_gamma 90.00
_space_group_name_H-M_alt 'C 1 2/m 1'
_space_group_IT_number 12
_space_group_name_Hall '-C 2y'
loop_
_atom_site_label
_atom_site_type_symbol
_atom_site_fract_x
_atom_site_fract_y
_atom_site_fract_z
Ca1 Ca 0.000 0.000 0.000
Tb1 Tb 0.170 0.262 0.108
Tb2 Tb 0.186 0.500 0.606
Pr1 Pr 0.000 0.500 0.500
Pr2 Pr 0.145 0.000 0.601

---

# 10
# PBE TiNi, optimized geometry
# **Raw total energy**: -7.092 eV per atom
# **Fermi-level density of states**: 3.0 states/eV/f.u.
# **Formation energy from the elements**: -0.254 eV per atom
data_TiNi
_chemical_formula_sum 'Ti8 Ni8'
_cell_length_a 7.387
_cell_length_b 7.387
_cell_length_c 4.178
_cell_angle_alpha 90.00
_cell_angle_beta 90.00
_cell_angle_gamma 90.00
_space_group_name_H-M_alt 'P 4/m n c'
_space_group_IT_number 128
_space_group_name_Hall '-P 4 2n'
loop_
_atom_site_label
_atom_site_type_symbol
_atom_site_fract_x
_atom_site_fract_y
_atom_site_fract_z
Ti1 Ti 0.022 0.301 0.000
Ni1 Ni 0.134 0.800 0.500

---

# 11
# PBE TlOsBr2, optimized geometry
# **Raw total energy**: -3.526 eV per atom
# **Fermi-level density of states**: 2.8 states/eV/f.u.
# **Energy relative to the elements, uncorrected**: 0.71 eV per atom
data_TlOsBr2
_chemical_formula_sum 'Tl1 Os1 Br2'
_cell_length_a 3.386
_cell_length_b 3.386
_cell_length_c 8.634
_cell_angle_alpha 90.00
_cell_angle_beta 90.00
_cell_angle_gamma 90.00
_space_group_name_H-M_alt 'P 4 m m'
_space_group_IT_number 99
_space_group_name_Hall 'P 4 -2'
loop_
_atom_site_label
_atom_site_type_symbol
_atom_site_fract_x
_atom_site_fract_y
_atom_site_fract_z
Tl1 Tl 0.000 0.000 0.000
Os1 Os 0.500 0.500 0.706
Br1 Br 0.000 0.000 0.594
Br2 Br 0.500 0.500 0.226

---

# 12
# PBE TmAlNi, optimized geometry
# **Raw total energy**: -5.273 eV per atom
# **Fermi-level density of states**: 1.8 states/eV/f.u.
# **Formation energy from the elements**: -0.608 eV per atom
data_TmAlNi
_chemical_formula_sum 'Tm6 Al6 Ni6'
_cell_length_a 11.999
_cell_length_b 3.856
_cell_length_c 6.948
_cell_angle_alpha 90.00
_cell_angle_beta 90.00
_cell_angle_gamma 90.00
_space_group_name_H-M_alt 'P m m a'
_space_group_IT_number 51
_space_group_name_Hall '-P 2a 2a'
loop_
_atom_site_label
_atom_site_type_symbol
_atom_site_fract_x
_atom_site_fract_y
_atom_site_fract_z
Tm1 Tm 0.041 0.000 0.244
Tm2 Tm 0.250 0.000 0.871
Al1 Al 0.132 0.500 0.577
Al2 Al 0.250 0.500 0.221
Ni1 Ni 0.097 0.500 0.952
Ni2 Ni 0.250 0.000 0.457

---

What is the raw total energy in the ninth record?
-4.179 eV per atom

---

Copy entry 4 word for word.
# PBE CaNdPd6, optimized geometry
# **Raw total energy**: -5.350 eV per atom
# **Fermi-level density of states**: 8.9 states/eV/f.u.
# **Formation energy from the elements**: -0.609 eV per atom
data_CaNdPd6
_chemical_formula_sum 'Ca1 Nd1 Pd6'
_cell_length_a 5.9689
_cell_length_b 5.9689
_cell_length_c 4.7400
_cell_angle_alpha 90.00
_cell_angle_beta 90.00
_cell_angle_gamma 120.00
_space_group_name_H-M_alt 'P -6 m 2'
_space_group_IT_number 187
_space_group_name_Hall 'P -6 2'
loop_
_atom_site_label
_atom_site_type_symbol
_atom_site_fract_x
_atom_site_fract_y
_atom_site_fract_z
Ca1 Ca 0.0000 0.0000 0.0000
Nd1 Nd 0.6667 0.3333 0.5000
Pd1 Pd 0.0156 0.5078 0.0000
Pd2 Pd 0.1728 0.3455 0.5000

---

Please write out number 5 again, unchanged.
# PBE DyTeO, optimized geometry
# **Raw total energy**: -6.515 eV per atom
# **Energy relative to the elements, uncorrected**: -2.28 eV per atom
data_DyTeO
_chemical_formula_sum 'Dy4 Te4 O4'
_cell_length_a 6.254
_cell_length_b 6.488
_cell_length_c 7.745
_cell_angle_alpha 90.00
_cell_angle_beta 110.29
_cell_angle_gamma 90.00
_space_group_name_H-M_alt 'P 1 21/c 1'
_space_group_IT_number 14
_space_group_name_Hall '-P 2ybc'
loop_
_atom_site_label
_atom_site_type_symbol
_atom_site_fract_x
_atom_site_fract_y
_atom_site_fract_z
Dy1 Dy 0.118 0.170 0.173
Te1 Te 0.363 0.599 0.087
O1 O 0.041 0.132 0.871

---

Among the records above, which one has the highest raw total energy?
MgAl2As